(1)
Compound: CsKSr2Ag
Source: Alexandria
Functional: PBE
Structure: relaxed

Results
ΔE_f	0.028	eV per atom
density of states at the Fermi level	1.043	states/eV per atom
total magnetic moment	0.0	Bohr magnetons per cell

Cell: 6.415 6.415 7.031 Å, 90.00 90.00 90.00°
Space group P4/mmm (No. 123)
Inequivalent atoms, fractional coordinates:
Cs1 0.000 0.000 0.000
K1 0.500 0.500 0.000
Sr1 0.000 0.500 0.500
Ag1 0.500 0.500 0.500


(2)
Compound: Tb4CeHo3
Source: Alexandria
Functional: PBE
Structure: relaxed

Results
ΔE_f	0.194	eV per atom
density of states at the Fermi level	2.005	states/eV per atom
total magnetic moment	1.8	Bohr magnetons per cell

Cell: 23.287 3.421 6.728 Å, 90.00 106.77 90.00°
Space group C2/m (No. 12)
Inequivalent atoms, fractional coordinates:
Tb1 0.124 0.000 0.367
Tb2 0.241 0.500 0.240
Ce1 0.000 0.500 0.000
Ho1 0.000 0.000 0.500
Ho2 0.124 0.000 0.883


(3)
Compound: BeZnAu3
Source: Alexandria
Functional: PBE
Structure: relaxed

Results
ΔE_f	0.846	eV per atom
density of states at the Fermi level	0.483	states/eV per atom
total magnetic moment	0.0	Bohr magnetons per cell

Cell: 4.789 4.789 4.789 Å, 90.00 90.00 90.00°
Space group Pm-3m (No. 221)
Inequivalent atoms, fractional coordinates:
Be1 0.000 0.000 0.000
Zn1 0.500 0.500 0.500
Au1 0.000 0.500 0.500


(4)
Compound: LaZnPS2
Source: Alexandria
Functional: PBE
Structure: relaxed

Results
density of states at the Fermi level	1.493	states/eV per atom
raw formation energy	0.222	eV per atom
total magnetic moment	2.5	Bohr magnetons per cell

Cell: 5.484 5.484 5.990 Å, 90.00 90.00 90.00°
Space group P4/mmm (No. 123)
Inequivalent atoms, fractional coordinates:
La1 0.000 0.000 0.000
Zn1 0.500 0.500 0.500
P1 0.000 0.000 0.500
S1 0.000 0.500 0.000


(5)
Compound: Na4AcF8
Source: Alexandria
Functional: PBE
Structure: relaxed

Results
density of states at the Fermi level	1.339	states/eV per atom
raw formation energy	-2.847	eV per atom
total magnetic moment	3.4	Bohr magnetons per cell

Cell: 6.8316 6.8316 17.8024 Å, 90.00 90.00 120.00°
Space group R-3m (No. 166, hexagonal axes)
Inequivalent atoms, fractional coordinates:
Na1 0.0000 0.0000 0.0000
Na2 0.0000 0.5000 0.0000
Ac1 0.0000 0.0000 0.5000
F1 0.0000 0.0000 0.2723
F2 0.0295 0.5148 0.2597


(6)
Compound: Na3Zn2CuF9
Source: Alexandria
Functional: PBE
Structure: relaxed

Results
density of states at the Fermi level	0.233	states/eV per atom
raw formation energy	-2.279	eV per atom
total magnetic moment	1.0	Bohr magnetons per cell

Cell: 5.7039 5.7039 7.0222 Å, 90.00 90.00 120.00°
Space group P-3m1 (No. 164)
Inequivalent atoms, fractional coordinates:
Na1 0.0000 0.0000 0.0000
Na2 0.3333 0.6667 0.6338
Zn1 0.3333 0.6667 0.1641
Cu1 0.0000 0.0000 0.5000
F1 0.0000 0.5000 0.0000
F2 0.1690 0.3379 0.3386


(7)
Compound: InTcTe
Source: Alexandria
Functional: PBE
Structure: relaxed

Results
density of states at the Fermi level	0.721	states/eV per atom
raw formation energy	0.136	eV per atom
total magnetic moment	0.0	Bohr magnetons per cell

Cell: 3.4233 3.4233 6.5062 Å, 90.00 90.00 120.00°
Space group P3m1 (No. 156)
Inequivalent atoms, fractional coordinates:
In1 0.0000 0.0000 0.0000
Tc1 0.6667 0.3333 0.3132
Te1 0.3333 0.6667 0.5813


(8)
Compound: TaVRe
Source: Alexandria
Functional: PBE
Structure: relaxed

Results
ΔE_f	-0.242	eV per atom
density of states at the Fermi level	0.609	states/eV per atom
total magnetic moment	0.0	Bohr magnetons per cell

Cell: 4.3819 4.3819 2.7923 Å, 90.00 90.00 120.00°
Space group P3m1 (No. 156)
Inequivalent atoms, fractional coordinates:
Ta1 0.0000 0.0000 0.0000
V1 0.3333 0.6667 0.6516
Re1 0.6667 0.3333 0.3369


(9)
Compound: Cs2Sn2Au5
Source: Alexandria
Functional: PBE
Structure: relaxed

Results
ΔE_f	-0.221	eV per atom
density of states at the Fermi level	0.461	states/eV per atom
total magnetic moment	0.0	Bohr magnetons per cell

Cell: 15.407 4.823 9.449 Å, 90.00 94.69 90.00°
Space group C2/m (No. 12)
Inequivalent atoms, fractional coordinates:
Cs1 0.094 0.000 0.278
Sn1 0.143 0.500 0.857
Au1 0.000 0.500 0.000
Au2 0.070 0.500 0.593
Au3 0.214 0.000 0.932


(10)
Compound: CePm2TmP4
Source: Alexandria
Functional: PBE
Structure: relaxed

Results
ΔE_f	-1.558	eV per atom
density of states at the Fermi level	0.655	states/eV per atom
total magnetic moment	0.4	Bohr magnetons per cell

Cell: 7.037 4.074 7.059 Å, 90.00 109.39 90.00°
Space group P2/m (No. 10)
Inequivalent atoms, fractional coordinates:
Ce1 0.000 0.000 0.000
Pm1 0.000 0.500 0.500
Pm2 0.500 0.000 0.500
Tm1 0.500 0.500 0.000
P1 0.250 0.500 0.242
P2 0.255 0.000 0.760


(11)
Compound: SrIn5Au3
Source: Alexandria
Functional: PBE
Structure: relaxed

Results
ΔE_f	-0.299	eV per atom
density of states at the Fermi level	0.294	states/eV per atom
total magnetic moment	0.0	Bohr magnetons per cell

Cell: 4.416 14.575 14.402 Å, 90.00 90.00 90.00°
Space group Cmcm (No. 63)
Inequivalent atoms, fractional coordinates:
Sr1 0.000 0.159 0.250
In1 0.000 0.000 0.000
In2 0.000 0.198 0.563
In3 0.000 0.438 0.148
Au1 0.000 0.142 0.750
Au2 0.000 0.385 0.573


(12)
Compound: Ca3SbP
Source: Alexandria
Functional: PBE
Structure: relaxed

Results
density of states at the Fermi level	0.187	states/eV per atom
raw formation energy	-0.999	eV per atom
total magnetic moment	0.0	Bohr magnetons per cell

Cell: 13.563 10.790 8.004 Å, 90.00 90.00 90.00°
Space group Cmce (No. 64)
Inequivalent atoms, fractional coordinates:
Ca1 0.000 0.071 0.184
Ca2 0.146 0.175 0.593
Sb1 0.250 0.082 0.250
P1 0.000 0.197 0.867


(13)
Compound: BaScMo2
Source: Alexandria
Functional: PBE
Structure: relaxed

Results
ΔE_f	1.459	eV per atom
density of states at the Fermi level	1.844	states/eV per atom
total magnetic moment	0.0	Bohr magnetons per cell

Cell: 8.101 8.101 5.684 Å, 90.00 90.00 90.00°
Space group I-42d (No. 122)
Inequivalent atoms, fractional coordinates:
Ba1 0.000 0.000 0.000
Sc1 0.000 0.000 0.500
Mo1 0.224 0.250 0.625


(14)
Compound: Ac2ThPt
Source: Alexandria
Functional: PBE
Structure: relaxed

Results
ΔE_f	-0.399	eV per atom
density of states at the Fermi level	1.561	states/eV per atom
total magnetic moment	0.0	Bohr magnetons per cell

Cell: 3.803 3.803 9.011 Å, 90.00 90.00 90.00°
Space group P4/mmm (No. 123)
Inequivalent atoms, fractional coordinates:
Ac1 0.000 0.000 0.203
Th1 0.500 0.500 0.500
Pt1 0.500 0.500 0.000


(15)
Compound: AcHgIr
Source: Alexandria
Functional: PBE
Structure: relaxed

Results
ΔE_f	-0.531	eV per atom
density of states at the Fermi level	0.422	states/eV per atom
total magnetic moment	0.0	Bohr magnetons per cell

Cell: 4.279 17.602 4.272 Å, 90.00 90.00 90.00°
Space group Cmcm (No. 63)
Inequivalent atoms, fractional coordinates:
Ac1 0.000 0.100 0.250
Hg1 0.000 0.295 0.250
Ir1 0.000 0.459 0.250


(16)
Compound: CsUTiSe4
Source: Alexandria
Functional: PBE
Structure: relaxed

Results
density of states at the Fermi level	1.070	states/eV per atom
raw formation energy	-1.179	eV per atom
total magnetic moment	6.0	Bohr magnetons per cell

Cell: 6.823 7.040 10.014 Å, 90.00 109.20 90.00°
Space group P2_1/m (No. 11)
Inequivalent atoms, fractional coordinates:
Cs1 0.239 0.250 0.442
U1 0.283 0.250 0.953
Ti1 0.272 0.750 0.159
Se1 0.050 0.750 0.922
Se2 0.065 0.750 0.313
Se3 0.481 0.510 0.805


(17)
Compound: CaNd2Cu2Ge2
Source: Alexandria
Functional: PBE
Structure: relaxed

Results
ΔE_f	-0.455	eV per atom
density of states at the Fermi level	0.407	states/eV per atom
total magnetic moment	0.0	Bohr magnetons per cell

Cell: 4.3504 4.3504 29.7818 Å, 90.00 90.00 120.00°
Space group R-3m (No. 166, hexagonal axes)
Inequivalent atoms, fractional coordinates:
Ca1 0.0000 0.0000 0.0000
Nd1 0.0000 0.0000 0.1234
Cu1 0.0000 0.0000 0.3981
Ge1 0.0000 0.0000 0.2645


(18)
Compound: TaP3
Source: Alexandria
Functional: PBE
Structure: relaxed

Results
ΔE_f	0.179	eV per atom
density of states at the Fermi level	0.410	states/eV per atom
total magnetic moment	0.0	Bohr magnetons per cell

Cell: 5.398 6.786 3.190 Å, 90.00 90.00 90.00°
Space group Cmmm (No. 65)
Inequivalent atoms, fractional coordinates:
Ta1 0.000 0.000 0.000
P1 0.000 0.500 0.000
P2 0.250 0.250 0.500


(19)
Compound: Cd2ReSe2
Source: Alexandria
Functional: PBE
Structure: relaxed

Results
density of states at the Fermi level	0.493	states/eV per atom
raw formation energy	0.841	eV per atom
total magnetic moment	5.8	Bohr magnetons per cell

Cell: 7.577 7.577 3.703 Å, 90.00 90.00 90.00°
Space group P4/mbm (No. 127)
Inequivalent atoms, fractional coordinates:
Cd1 0.139 0.361 0.000
Re1 0.000 0.000 0.000
Se1 0.170 0.670 0.500


(20)
Compound: Pm5Ag2Sb
Source: Alexandria
Functional: PBE
Structure: relaxed

Results
density of states at the Fermi level	1.145	states/eV per atom
raw formation energy	-0.415	eV per atom
total magnetic moment	0.0	Bohr magnetons per cell

Cell: 8.336 8.336 13.353 Å, 90.00 90.00 90.00°
Space group I4/mcm (No. 140)
Inequivalent atoms, fractional coordinates:
Pm1 0.000 0.000 0.000
Pm2 0.155 0.345 0.148
Ag1 0.133 0.367 0.500
Sb1 0.000 0.000 0.250


(21)
Compound: LaNi2Te
Source: Alexandria
Functional: PBE
Structure: relaxed

Results
density of states at the Fermi level	1.014	states/eV per atom
raw formation energy	-0.158	eV per atom
total magnetic moment	0.0	Bohr magnetons per cell

Cell: 3.952 3.952 10.431 Å, 90.00 90.00 90.00°
Space group I-4m2 (No. 119)
Inequivalent atoms, fractional coordinates:
La1 0.000 0.000 0.000
Ni1 0.000 0.000 0.500
Ni2 0.000 0.500 0.750
Te1 0.000 0.500 0.250


(22)
Compound: NbVBi2
Source: Alexandria
Functional: PBE
Structure: relaxed

Results
ΔE_f	0.789	eV per atom
density of states at the Fermi level	1.355	states/eV per atom
total magnetic moment	14.0	Bohr magnetons per cell

Cell: 7.865 7.865 6.319 Å, 90.00 90.00 90.00°
Space group I-42d (No. 122)
Inequivalent atoms, fractional coordinates:
Nb1 0.000 0.000 0.000
V1 0.000 0.000 0.500
Bi1 0.240 0.250 0.625